# PBE CuNiBiIr, optimized geometry
# E	-5.190	eV per atom
# M_tot	0.0	μB/f.u.
data_CuNiBiIr
_chemical_formula_sum 'Cu4 Ni4 Bi4 Ir4'
_cell_length_a 6.342
_cell_length_b 6.342
_cell_length_c 6.342
_cell_angle_alpha 90.00
_cell_angle_beta 90.00
_cell_angle_gamma 90.00
_symmetry_space_group_name_H-M 'F -4 3 m'
_symmetry_Int_Tables_number 216
_symmetry_space_group_name_Hall 'F -4 2 3'
loop_
_atom_site_label
_atom_site_type_symbol
_atom_site_fract_x
_atom_site_fract_y
_atom_site_fract_z
Cu1 Cu 0.000 0.000 0.000
Ni1 Ni 0.250 0.250 0.250
Bi1 Bi 0.250 0.250 0.750
Ir1 Ir 0.000 0.000 0.500